## Ti2VGe4 (PBE-GGA)

Data for Ti2VGe4 after structural relaxation.

Computed properties:
As for the energy above the most stable polymorph in this dataset: 0 meV per atom. Its symmetry is I4mm, No. 107. The energy relative to the elements comes out at -0.142 eV per atom. The calculation puts the total energy at -0.46588 Ry/atom.

Lattice parameters (Å, degrees): 6.4720 6.4720 5.5789 90.00 90.00 90.00
Element x y z (fractional)
Ti 0.0000 0.5000 0.0000
Ti 0.0000 0.5000 0.5000
Ti 0.5000 0.0000 0.0000
Ti 0.5000 0.0000 0.5000
V 0.0000 0.0000 0.3537
V 0.5000 0.5000 0.8537
Ge 0.2189 0.2189 0.7331
Ge 0.2189 0.7811 0.7331
Ge 0.2811 0.2811 0.2331
Ge 0.2811 0.7189 0.2331
Ge 0.7189 0.2811 0.2331
Ge 0.7189 0.7189 0.2331
Ge 0.7811 0.2189 0.7331
Ge 0.7811 0.7811 0.7331